Record 1
# Pa3HS6 GGA-PBE relaxed
# **E above lowest polymorph**: 0.0000 eV/atom
# **V**: 24.663 A^3/atom
# **Crystal system**: monoclinic
# **Spin magnetization**: 2.1 μB per formula unit
data_Pa3HS6
_cell_length_a 11.030
_cell_length_b 4.163
_cell_length_c 11.179
_cell_angle_alpha 90.00
_cell_angle_beta 106.05
_cell_angle_gamma 90.00
_space_group_name_H-M_alt 'P 1 21/m 1'
_space_group_IT_number 11
_space_group_name_Hall '-P 2yb'
loop_
_atom_site_label
_atom_site_type_symbol
_atom_site_fract_x
_atom_site_fract_y
_atom_site_fract_z
_atom_site_occupancy
Pa1 Pa 0.021 0.250 0.188 1
Pa2 Pa 0.329 0.250 0.903 1
Pa3 Pa 0.444 0.750 0.333 1
H1 H 0.389 0.250 0.734 1
S1 S 0.067 0.750 0.334 1
S2 S 0.105 0.250 0.969 1
S3 S 0.212 0.750 0.766 1
S4 S 0.287 0.250 0.258 1
S5 S 0.407 0.750 0.562 1
S6 S 0.413 0.750 0.071 1

=====

Record 2
# Pa3H5S12 GGA-PBE relaxed
# **Final energy**: -4.9885 eV/atom
# **V**: 16.896 A^3/atom
# **Crystal system**: cubic
# **Spin magnetization**: 0.0 μB per formula unit
data_Pa3H5S12
_cell_length_a 13.931
_cell_length_b 13.931
_cell_length_c 13.931
_cell_angle_alpha 90.00
_cell_angle_beta 90.00
_cell_angle_gamma 90.00
_space_group_name_H-M_alt 'I a -3 d'
_space_group_IT_number 230
_space_group_name_Hall '-I 4bd 2c 3'
loop_
_atom_site_label
_atom_site_type_symbol
_atom_site_fract_x
_atom_site_fract_y
_atom_site_fract_z
_atom_site_occupancy
Pa1 Pa 0.000 0.250 0.125 1
H1 H 0.000 0.000 0.000 1
H2 H 0.000 0.250 0.375 1
S1 S 0.033 0.054 0.651 1

=====

Record 3
# PaH2S GGA-PBE relaxed
# **E above lowest polymorph**: 0.0000 eV/atom
# **V**: 12.244 A^3/atom
# **Crystal system**: trigonal
# **Spin magnetization**: 1.0 μB per formula unit
data_PaH2S
_cell_length_a 3.7181
_cell_length_b 3.7181
_cell_length_c 12.2724
_cell_angle_alpha 90.00
_cell_angle_beta 90.00
_cell_angle_gamma 120.00
_space_group_name_H-M_alt 'R -3 m'
_space_group_IT_number 166
_space_group_name_Hall '-R 3 2"'
loop_
_atom_site_label
_atom_site_type_symbol
_atom_site_fract_x
_atom_site_fract_y
_atom_site_fract_z
_atom_site_occupancy
Pa1 Pa 0.0000 0.0000 0.0000 1
H1 H 0.0000 0.0000 0.2977 1
S1 S 0.0000 0.0000 0.5000 1